# 1
TbCuSb2 after structural relaxation, computed with PBE.

Formation energy (no corrections) = -628 meV/atom
Crystal system = tetragonal
Fermi-level density of states = 2.72 states/eV/cell
SG = P4/nmm, No. 129
Total magnetization = 0.0 Bohr magnetons per cell

Lattice parameters (Å, degrees): 4.3330 4.3330 9.8198 90.00 90.00 90.00
With the nearest neighbours (Å) after each atom.
Element x y z (fractional)
1 Tb 0.0000 0.5000 0.7503  8 Sb 3.19-3.27, 4 Cu 3.28
2 Tb 0.5000 0.0000 0.2497  8 Sb 3.19-3.27, 4 Cu 3.28
3 Cu 0.5000 0.5000 0.5000  4 Sb 2.68
4 Cu 0.0000 0.0000 0.5000  4 Sb 2.68
5 Sb 0.5000 0.5000 0.0000  4 Sb 3.06, 4 Tb 3.27
6 Sb 0.0000 0.0000 0.0000  4 Sb 3.06, 4 Tb 3.27
7 Sb 0.0000 0.5000 0.3397  4 Cu 2.68
8 Sb 0.5000 0.0000 0.6603  4 Cu 2.68

# 2
Zr2SiBIr6 after structural relaxation, computed with PBE.

Formation energy (no corrections) = -529 meV/atom
Crystal system = monoclinic
Fermi-level density of states = 6.86 states/eV/cell
SG = C2/m, No. 12
Total magnetization = 0.0 Bohr magnetons per cell

Lattice parameters (Å, degrees): 5.4682 7.0281 5.4663 67.15 60.00 89.99
With the nearest neighbours (Å) after each atom.
Element x y z (fractional)
1 Zr 0.7033 0.1104 0.5933  9 Ir 2.96-3.00, 3 Si 3.23
2 Zr 0.2967 0.8896 0.4067  9 Ir 2.96-3.00, 3 Si 3.23
3 Si 0.0000 0.0000 0.0000  6 Ir 2.40
4 B 0.5000 0.5000 0.0000  6 Ir 2.08
5 Ir 0.2605 0.2919 0.4794  1 B 2.08
6 Ir 0.7399 0.7085 0.0311  1 B 2.08
7 Ir 0.2282 0.7079 0.0317  1 B 2.08
8 Ir 0.7718 0.2921 0.9683  1 B 2.08
9 Ir 0.2601 0.2915 0.9689  1 B 2.08
10 Ir 0.7395 0.7081 0.5206  1 B 2.08

# 3
LaSnBi after structural relaxation, computed with PBE.

Crystal system = trigonal
Fermi-level density of states = 2.00 states/eV/cell
Energy above the lowest structure with this stoichiometry = 239 meV/atom
SG = P3m1, No. 156
ΔH_f (0 K) = -1.5 eV per formula unit
Total magnetization = 0.0 Bohr magnetons per cell

Lattice parameters (Å, degrees): 4.0807 5.2450 5.2450 120.00 90.00 90.00
With the nearest neighbours (Å) after each atom.
Element x y z (fractional)
1 Bi 0.1655 0.0000 0.0000  3 Sn 3.03
2 Sn 0.1681 0.6667 0.3333  3 Bi 3.03
3 La 0.6663 0.3333 0.6667  6 Sn 3.65-3.66, 6 Bi 3.65, 2 La 4.08

# 4
KCa2AlRh after structural relaxation, computed with PBE.

Crystal system = tetragonal
Fermi-level density of states = 3.18 states/eV/cell
SG = P4/mmm, No. 123
ΔH_f (0 K) = -1.1 eV per formula unit
Total magnetization = 0.0 Bohr magnetons per cell

Lattice parameters (Å, degrees): 5.6227 5.6227 4.9249 90.00 90.00 90.00
With the nearest neighbours (Å) after each atom.
Element x y z (fractional)
1 Ca 0.0000 0.5000 0.0000  2 Rh 2.81
2 Ca 0.5000 0.0000 0.0000  2 Rh 2.81
3 Rh 0.0000 0.0000 0.0000  2 Al 2.46
4 K 0.5000 0.5000 0.5000  8 Ca 3.74, 4 Al 3.98
5 Al 0.0000 0.0000 0.5000  2 Rh 2.46

# 5
TiAgBr5 after structural relaxation, computed with PBE.

Formation energy (no corrections) = -928 meV/atom
Crystal system = triclinic
Fermi-level density of states = 0.00 states/eV/cell
Energy above the lowest structure with this stoichiometry = 0 meV/atom
SG = P-1, No. 2
Total magnetization = 0.0 Bohr magnetons per cell

Lattice parameters (Å, degrees): 11.4551 11.4496 6.2637 102.32 102.31 122.15
With the nearest neighbours (Å) after each atom.
Element x y z (fractional)
1 Ti 0.8548 0.6448 0.2498  4 Br 2.33-2.34
2 Ti 0.1452 0.3552 0.7502  4 Br 2.33-2.34
3 Ag 0.5000 0.0000 0.0000  2 Br 2.50
4 Ag 0.5000 0.0000 0.5000  2 Br 2.50
5 Br 0.9112 0.8359 0.1147  1 Ti 2.33
6 Br 0.0693 0.7252 0.5618  1 Ti 2.34
7 Br 0.4027 0.0971 0.2499  2 Ag 2.50
8 Br 0.6636 0.5888 0.3840  1 Ti 2.33
9 Br 0.3364 0.4112 0.6160  1 Ti 2.33
10 Br 0.7747 0.4299 0.9386  1 Ti 2.34
11 Br 0.2253 0.5701 0.0614  1 Ti 2.34
12 Br 0.5973 0.9029 0.7501  2 Ag 2.50
13 Br 0.9307 0.2748 0.4382  1 Ti 2.34
14 Br 0.0888 0.1641 0.8853  1 Ti 2.33

# 6
SmY2Tm9 after structural relaxation, computed with PBE.

Crystal system = tetragonal
Fermi-level density of states = 17.23 states/eV/cell
Energy above the lowest structure with this stoichiometry = 0 meV/atom
SG = P4/mmm, No. 123
ΔH_f (0 K) = 0.3 eV per formula unit
Total magnetization = 0.0 Bohr magnetons per cell

Lattice parameters (Å, degrees): 4.9695 4.9695 14.9100 90.00 90.00 90.00
With the nearest neighbours (Å) after each atom.
Element x y z (fractional)
1 Sm 0.0000 0.0000 0.0000  12 Tm 3.51-3.52
2 Y 0.0000 0.0000 0.3334  12 Tm 3.51
3 Y 0.0000 0.0000 0.6666  12 Tm 3.51
4 Tm 0.5000 0.5000 0.0000  4 Sm 3.51, 8 Tm 3.52
5 Tm 0.5000 0.5000 0.3339  8 Tm 3.51-3.52, 4 Y 3.51
6 Tm 0.5000 0.5000 0.6661  8 Tm 3.51-3.52, 4 Y 3.51
7 Tm 0.5000 0.0000 0.1671  2 Y 3.51, 8 Tm 3.51-3.52, 2 Sm 3.52
8 Tm 0.5000 0.0000 0.5000  8 Tm 3.51, 4 Y 3.51
9 Tm 0.5000 0.0000 0.8329  2 Y 3.51, 8 Tm 3.51-3.52, 2 Sm 3.52
10 Tm 0.0000 0.5000 0.1671  2 Y 3.51, 8 Tm 3.51-3.52, 2 Sm 3.52
11 Tm 0.0000 0.5000 0.5000  8 Tm 3.51, 4 Y 3.51
12 Tm 0.0000 0.5000 0.8329  2 Y 3.51, 8 Tm 3.51-3.52, 2 Sm 3.52

# 7
Pm2DyAlO after structural relaxation, computed with PBE.

Formation energy (no corrections) = -1347 meV/atom
Crystal system = tetragonal
Fermi-level density of states = 1.90 states/eV/cell
SG = P4/mmm, No. 123
Total magnetization = 0.0 Bohr magnetons per cell

Lattice parameters (Å, degrees): 4.7023 4.9045 4.9045 90.00 90.00 90.00
With the nearest neighbours (Å) after each atom.
Element x y z (fractional)
1 Pm 0.0000 0.0000 0.5000  2 O 2.45
2 Pm 0.0000 0.5000 0.0000  2 O 2.45
3 Dy 0.5000 0.0000 0.0000  2 O 2.35
4 Al 0.5000 0.5000 0.5000  8 Pm 3.40, 4 Dy 3.47
5 O 0.0000 0.0000 0.0000  2 Dy 2.35, 4 Pm 2.45

# 8
MnV2Ir3 after structural relaxation, computed with PBE.

Crystal system = orthorhombic
Fermi-level density of states = 4.36 states/eV/cell
Energy above the lowest structure with this stoichiometry = 0 meV/atom
SG = Cmmm, No. 65
ΔH_f (0 K) = -2.7 eV per formula unit
Total magnetization = 1.0 Bohr magnetons per cell

Lattice parameters (Å, degrees): 3.6662 3.8559 6.1390 108.30 90.00 90.00
With the nearest neighbours (Å) after each atom.
Element x y z (fractional)
1 Mn 0.0000 0.0000 0.0000  8 Ir 2.66-2.67, 4 V 2.70
2 V 0.0000 0.6625 0.3251  8 Ir 2.64-2.71, 2 Mn 2.70, 2 V 2.81
3 V 0.0000 0.3375 0.6749  8 Ir 2.64-2.71, 2 Mn 2.70, 2 V 2.81
4 Ir 0.5000 0.1662 0.3324  6 V 2.66-2.71, 2 Mn 2.67, 4 Ir 2.73-2.75
5 Ir 0.5000 0.5000 0.0000  4 V 2.64, 4 Mn 2.66, 4 Ir 2.73
6 Ir 0.5000 0.8338 0.6676  6 V 2.66-2.71, 2 Mn 2.67, 4 Ir 2.73-2.75